[1]
Density functional theory data (PBE) for BaHo2Mg3 after structural relaxation.

Structure (CIF):
```
data_BaHo2Mg3
_chemical_formula_sum 'Ba1 Ho2 Mg3'
_space_group_name_H-M_alt 'P 1'
_space_group_IT_number 1
_cell_length_a 3.8311
_cell_length_b 3.8311
_cell_length_c 12.6236
_cell_angle_alpha 90.00
_cell_angle_beta 90.00
_cell_angle_gamma 90.00
loop_
_space_group_symop_operation_xyz
'x,y,z'
loop_
_atom_site_label
_atom_site_type_symbol
_atom_site_fract_x
_atom_site_fract_y
_atom_site_fract_z
_atom_site_occupancy
Ba1 Ba 0.0000 0.0000 0.0000 1
Ho1 Ho 0.0000 0.0000 0.3578 1
Ho2 Ho 0.0000 0.0000 0.6422 1
Mg1 Mg 0.5000 0.5000 0.2062 1
Mg2 Mg 0.5000 0.5000 0.5000 1
Mg3 Mg 0.5000 0.5000 0.7938 1
```

Results
- M_tot (μB per formula unit) = 0.0
- uncorrected energy (eV per cell) = -16.09

***

[2]
Density functional theory data (PBE) for BaHoMg17 after structural relaxation.

Structure (CIF):
```
data_BaHoMg17
_chemical_formula_sum 'Ba1 Ho1 Mg17'
_space_group_name_H-M_alt 'P 1'
_space_group_IT_number 1
_cell_length_a 7.9003
_cell_length_b 7.9003
_cell_length_c 7.9003
_cell_angle_alpha 82.45
_cell_angle_beta 82.45
_cell_angle_gamma 82.45
loop_
_space_group_symop_operation_xyz
'x,y,z'
loop_
_atom_site_label
_atom_site_type_symbol
_atom_site_fract_x
_atom_site_fract_y
_atom_site_fract_z
_atom_site_occupancy
Ba1 Ba 0.0000 0.0000 0.0000 1
Ho1 Ho 0.6640 0.6640 0.6640 1
Mg1 Mg 0.0345 0.3410 0.6331 1
Mg2 Mg 0.0345 0.6331 0.3410 1
Mg3 Mg 0.1918 0.6819 0.6819 1
Mg4 Mg 0.2412 0.2412 0.2412 1
Mg5 Mg 0.3335 0.3335 0.8392 1
Mg6 Mg 0.3335 0.8392 0.3335 1
Mg7 Mg 0.3410 0.0345 0.6331 1
Mg8 Mg 0.3410 0.6331 0.0345 1
Mg9 Mg 0.4380 0.4380 0.4380 1
Mg10 Mg 0.5058 0.9795 0.9795 1
Mg11 Mg 0.6331 0.0345 0.3410 1
Mg12 Mg 0.6331 0.3410 0.0345 1
Mg13 Mg 0.6819 0.1918 0.6819 1
Mg14 Mg 0.6819 0.6819 0.1918 1
Mg15 Mg 0.8392 0.3335 0.3335 1
Mg16 Mg 0.9795 0.5058 0.9795 1
Mg17 Mg 0.9795 0.9795 0.5058 1
```

Results
- M_tot (μB per formula unit) = 0.0
- uncorrected energy (eV per cell) = -34.21

***

[3]
Density functional theory data (PBE) for Ba2HoMg16 after structural relaxation.

Structure (CIF):
```
data_Ba2HoMg16
_chemical_formula_sum 'Ba2 Ho1 Mg16'
_space_group_name_H-M_alt 'P 1'
_space_group_IT_number 1
_cell_length_a 8.1030
_cell_length_b 8.1030
_cell_length_c 8.1030
_cell_angle_alpha 82.74
_cell_angle_beta 82.74
_cell_angle_gamma 82.74
loop_
_space_group_symop_operation_xyz
'x,y,z'
loop_
_atom_site_label
_atom_site_type_symbol
_atom_site_fract_x
_atom_site_fract_y
_atom_site_fract_z
_atom_site_occupancy
Ba1 Ba 0.0000 0.0000 0.0000 1
Ba2 Ba 0.3196 0.3196 0.3196 1
Ho1 Ho 0.7530 0.7530 0.7530 1
Mg1 Mg 0.0106 0.0106 0.5113 1
Mg2 Mg 0.0106 0.5113 0.0106 1
Mg3 Mg 0.1636 0.6602 0.6602 1
Mg4 Mg 0.3132 0.3132 0.8147 1
Mg5 Mg 0.3132 0.8147 0.3132 1
Mg6 Mg 0.3704 0.6605 0.9530 1
Mg7 Mg 0.3704 0.9530 0.6605 1
Mg8 Mg 0.5113 0.0106 0.0106 1
Mg9 Mg 0.5505 0.5505 0.5505 1
Mg10 Mg 0.6602 0.1636 0.6602 1
Mg11 Mg 0.6605 0.3704 0.9530 1
Mg12 Mg 0.6602 0.6602 0.1636 1
Mg13 Mg 0.6605 0.9530 0.3704 1
Mg14 Mg 0.8147 0.3132 0.3132 1
Mg15 Mg 0.9530 0.3704 0.6605 1
Mg16 Mg 0.9530 0.6605 0.3704 1
```

Results
- M_tot (μB per formula unit) = 0.0
- uncorrected energy (eV per cell) = -35.00